# 1
Entry from the Alexandria database: Cr2TcAu2 at its PBEsol-relaxed geometry (SCAN).

Raw total energy = -41.425 eV per atom

Lattice parameters (Å, degrees): 3.7010 3.7010 6.2071 107.35 107.35 90.00
Site moments in Bohr magnetons follow the coordinates.
Fractional positions:
Cr  0.4178  0.4178  0.8355  -0.32
Cr  0.5822  0.5822  0.1645  -0.32
Au  0.2500  0.7500  0.5000  -0.01
Au  0.7500  0.2500  0.5000  -0.01
Tc  0.0000  0.0000  0.0000  1.70

***

# 2
Entry from the Alexandria database: NbRu2ClF at its PBEsol-relaxed geometry (SCAN).

ΔE_f (raw) = 0.59 eV per atom
Raw total energy = -22.274 eV per atom

Lattice parameters (Å, degrees): 3.9332 3.9332 4.7754 90.00 90.00 90.00
Site moments in Bohr magnetons follow the coordinates.
Fractional positions:
Ru  0.0000  0.5000  0.0000  -0.58
Ru  0.5000  0.0000  0.0000  -0.58
Nb  0.5000  0.5000  0.5000  1.19
F  0.0000  0.0000  0.0000  0.01
Cl  0.0000  0.0000  0.5000  0.01

***

# 3
Entry from the Alexandria database: LiCuRh2 at its PBEsol-relaxed geometry (SCAN).

Raw total energy = -21.296 eV per atom

Lattice parameters (Å, degrees): 2.6730 4.3058 4.4402 90.00 90.00 90.00
Fractional positions:
Rh  0.0000  0.0000  0.0000
Rh  0.5000  0.0000  0.5000
Cu  0.5000  0.5000  0.0000
Li  0.0000  0.5000  0.5000

***

# 4
Entry from the Alexandria database: CeHfO4 at its PBEsol-relaxed geometry (SCAN).

ΔE_f (raw) = -3.70 eV per atom
Raw total energy = -25.726 eV per atom

Lattice parameters (Å, degrees): 4.9974 5.9180 5.9307 109.62 90.00 90.00
Fractional positions:
Hf  0.0000  0.0000  0.0000
Hf  0.5000  0.0000  0.5000
O  0.7084  0.8637  0.1766
O  0.7916  0.8637  0.6766
O  0.3304  0.6646  0.3675
O  0.1696  0.6646  0.8675
O  0.8304  0.3354  0.1325
O  0.6696  0.3354  0.6325
O  0.2084  0.1363  0.3234
O  0.2916  0.1363  0.8234
Ce  0.5000  0.5000  0.0000
Ce  0.0000  0.5000  0.5000

***

> The highest raw total energy belongs to which entry?

LiCuRh2

***

> Among the records above, which one has the highest raw total energy?

LiCuRh2

***

> Which value of raw total energy does entry 4 give?

-25.726 eV per atom

***

Please write out number 4 again, unchanged.
Entry from the Alexandria database: CeHfO4 at its PBEsol-relaxed geometry (SCAN).

ΔE_f (raw) = -3.70 eV per atom
Raw total energy = -25.726 eV per atom

Lattice parameters (Å, degrees): 4.9974 5.9180 5.9307 109.62 90.00 90.00
Fractional positions:
Hf  0.0000  0.0000  0.0000
Hf  0.5000  0.0000  0.5000
O  0.7084  0.8637  0.1766
O  0.7916  0.8637  0.6766
O  0.3304  0.6646  0.3675
O  0.1696  0.6646  0.8675
O  0.8304  0.3354  0.1325
O  0.6696  0.3354  0.6325
O  0.2084  0.1363  0.3234
O  0.2916  0.1363  0.8234
Ce  0.5000  0.5000  0.0000
Ce  0.0000  0.5000  0.5000